Entry 1:
The following is a DFT calculation (GGA-PBE) of crystalline Pa2Re3W at its relaxed geometry.

Geometry as extended XYZ:
```
6
Lattice="2.204 -0.157 -4.908 0.363 -4.625 2.728 -5.258 0.703 0.113" Properties=species:S:1:pos:R:3 pbc="T T T"
Pa 1.120 -1.776 -2.631
Pa -3.811 -2.303 0.564
Re -1.346 -2.039 -1.033
Re -2.629 0.351 0.056
Re -1.527 0.273 -2.398
W 0.000 0.000 0.000
```

Properties
Space group ... C2/m (12)
Electronic total energy ... -11.65 eV/atom
Formation energy ... -0.10 eV/atom

---

Entry 2:
The following is a DFT calculation (GGA-PBE) of crystalline SrEuMgSi at its relaxed geometry.

Geometry as extended XYZ:
```
4
Lattice="5.455 0.000 0.000 2.727 4.724 0.000 2.727 1.575 4.454" Properties=species:S:1:pos:R:3 pbc="T T T"
Eu 0.000 0.000 0.000
Sr 5.455 3.149 2.227
Si 8.182 4.724 3.340
Mg 2.727 1.575 1.113
```

Properties
Raw formation energy ... -0.20 eV/atom
Space group ... F-43m (216)
Electronic total energy ... -4.94 eV/atom

---

Entry 3:
The following is a DFT calculation (GGA-PBE) of crystalline Pm2EuHo at its relaxed geometry.

Geometry as extended XYZ:
```
4
Lattice="5.817 0.000 0.000 2.909 5.038 0.000 2.909 1.679 4.750" Properties=species:S:1:pos:R:3 pbc="T T T"
Eu 0.000 0.000 0.000
Ho 5.817 3.359 2.375
Pm 2.909 1.679 1.187
Pm 8.726 5.038 3.562
```

Properties
Space group ... Fm-3m (225)
Electronic total energy ... -5.95 eV/atom
Formation energy ... 0.14 eV/atom

---

Entry 4:
The following is a DFT calculation (GGA-PBE) of crystalline SrRuPt2O6 at its relaxed geometry.

Geometry as extended XYZ:
```
10
Lattice="5.734 -0.245 -0.774 -3.091 4.665 0.544 -3.467 -1.248 5.655" Properties=species:S:1:pos:R:3 pbc="T T T"
Sr 2.112 1.537 2.480
Ru -0.750 3.191 5.150
Pt -0.430 2.999 2.182
Pt -0.500 0.083 4.844
O -2.428 3.601 4.188
O 2.083 -0.055 0.511
O 2.097 2.857 0.360
O -0.913 1.550 0.861
O 0.019 1.812 3.807
O -2.392 -0.102 3.970
```

Properties
Raw formation energy ... -0.95 eV/atom
Space group ... P1 (1)
Electronic total energy ... -6.23 eV/atom

---

Entry 5:
The following is a DFT calculation (GGA-PBE) of crystalline MnCoP2 at its relaxed geometry.

Geometry as extended XYZ:
```
4
Lattice="3.144 0.000 0.000 0.000 3.144 0.000 0.000 0.000 4.686" Properties=species:S:1:pos:R:3 pbc="T T T"
Co 0.000 0.000 2.082
Mn 1.572 1.572 3.743
P 0.000 0.000 4.473
P 1.572 1.572 1.418
```

Properties
Space group ... P4mm (99)
Electronic total energy ... -7.16 eV/atom
Formation energy ... -0.38 eV/atom

---

Entry 6:
The following is a DFT calculation (GGA-PBE) of crystalline YAlSn2 at its relaxed geometry.

Geometry as extended XYZ:
```
8
Lattice="-2.413 1.393 7.549 -6.723 -4.204 -1.373 -3.098 -4.072 4.050" Properties=species:S:1:pos:R:3 pbc="T T T"
Y 0.000 0.000 0.000
Y -5.040 -2.042 7.344
Sn -3.029 -0.727 5.264
Sn -5.372 -3.417 1.393
Sn -6.012 -4.272 5.300
Sn -10.055 -5.348 8.495
Al -4.568 -1.405 3.088
Al -7.194 -4.840 2.882
```

Properties
Space group ... I-42d (122)
Electronic total energy ... -4.80 eV/atom
Formation energy ... -0.24 eV/atom

---

Entry 7:
The following is a DFT calculation (GGA-PBE) of crystalline Pr4HoSc2 at its relaxed geometry.

Geometry as extended XYZ:
```
14
Lattice="5.721 0.000 2.272 4.277 10.842 -2.430 -0.551 -6.848 9.724" Properties=species:S:1:pos:R:3 pbc="T T T"
Pr 1.640 0.088 4.208
Pr 7.807 3.906 5.358
Pr 5.332 3.134 3.251
Pr 4.115 0.861 6.315
Pr 0.303 -4.888 7.574
Pr 9.144 8.883 1.992
Pr 6.696 8.056 -0.183
Pr 2.751 -4.062 9.750
Ho 1.430 0.000 0.568
Ho 4.291 0.000 1.704
Sc 5.654 6.752 2.439
Sc 3.793 -2.757 7.127
Sc 6.179 -1.808 9.457
Sc 3.268 5.802 0.109
```

Properties
Space group ... Ibam (72)
Electronic total energy ... -4.94 eV/atom
Formation energy ... 0.25 eV/atom

---

Entry 8:
The following is a DFT calculation (GGA-PBE) of crystalline LiMg2Rh2 at its relaxed geometry.

Geometry as extended XYZ:
```
5
Lattice="-1.702 -4.587 0.432 4.117 -1.721 -2.051 2.864 -3.433 2.749" Properties=species:S:1:pos:R:3 pbc="T T T"
Mg 1.184 -5.587 1.185
Mg 4.094 -4.154 -0.056
Rh 1.728 -3.242 0.308
Rh 3.551 -6.499 0.821
Li 0.000 0.000 0.000
```

Properties
Space group ... I4/mmm (139)
Electronic total energy ... -3.92 eV/atom
Formation energy ... 0.04 eV/atom

---

Entry 9:
The following is a DFT calculation (GGA-PBE) of crystalline AgTeSe at its relaxed geometry.

Geometry as extended XYZ:
```
6
Lattice="-1.612 2.540 -2.823 2.229 -1.849 -2.937 -6.679 -5.833 -1.396" Properties=species:S:1:pos:R:3 pbc="T T T"
Ag -5.028 -0.975 -3.203
Ag -0.903 -1.250 -2.795
Te -7.387 -3.050 -3.686
Te -2.962 -3.043 -3.229
Se -5.569 -5.333 -3.764
Se -2.656 1.090 -2.702
```

Properties
Raw formation energy ... 0.03 eV/atom
Space group ... Pm (6)
Electronic total energy ... -3.13 eV/atom

---

Entry 10:
The following is a DFT calculation (GGA-PBE) of crystalline Sr2Zn12Cu3Ag at its relaxed geometry.

Geometry as extended XYZ:
```
18
Lattice="8.237 -0.114 -0.081 3.969 7.219 -0.081 3.969 2.310 6.840" Properties=species:S:1:pos:R:3 pbc="T T T"
Sr 9.732 5.665 4.018
Sr 6.443 3.750 2.660
Zn 4.096 2.384 -0.032
Zn 12.182 7.091 2.357
Zn 9.989 8.337 5.913
Zn 2.682 3.187 2.261
Zn 12.182 4.569 5.913
Zn 4.096 0.758 2.261
Zn 12.079 7.031 6.710
Zn 3.992 2.324 4.321
Zn 6.186 1.078 0.765
Zn 13.492 6.228 4.417
Zn 3.992 4.846 0.765
Zn 12.079 8.657 4.417
Cu 4.119 -0.057 -0.040
Cu 1.984 3.609 -0.040
Cu 1.984 1.155 3.420
Ag 0.000 0.000 0.000
```

Properties
Space group ... R-3m (166)
Electronic total energy ... -1.70 eV/atom
Formation energy ... 0.18 eV/atom

---

Entry 11:
The following is a DFT calculation (GGA-PBE) of crystalline AlGeN2O at its relaxed geometry.

Geometry as extended XYZ:
```
5
Lattice="-3.548 -0.431 -1.495 -0.082 -3.666 1.251 -1.491 1.129 3.213" Properties=species:S:1:pos:R:3 pbc="T T T"
Ge -2.560 -1.484 1.485
Al 0.000 0.000 0.000
O -0.745 0.565 1.607
N -0.041 -1.833 0.625
N -1.774 -0.215 -0.747
```

Properties
Raw formation energy ... 0.23 eV/atom
Space group ... P4/mmm (123)
Electronic total energy ... -5.77 eV/atom

---

Entry 12:
The following is a DFT calculation (GGA-PBE) of crystalline MgRhIN2 at its relaxed geometry.

Geometry as extended XYZ:
```
5
Lattice="3.872 0.000 0.000 0.000 3.872 0.000 0.000 0.000 7.145" Properties=species:S:1:pos:R:3 pbc="T T T"
I 0.000 0.000 3.573
Mg 1.936 1.936 3.573
Rh 0.000 0.000 0.000
N 0.000 1.936 0.000
N 1.936 0.000 0.000
```

Properties
Raw formation energy ... 0.88 eV/atom
Space group ... P4/mmm (123)
Electronic total energy ... -4.55 eV/atom

---

Entry 13:
The following is a DFT calculation (GGA-PBE) of crystalline CaCdPCl2 at its relaxed geometry.

Geometry as extended XYZ:
```
5
Lattice="-1.113 -3.062 -4.017 4.290 1.597 -2.406 3.085 -4.457 2.542" Properties=species:S:1:pos:R:3 pbc="T T T"
P 1.543 -2.229 1.271
Ca 0.000 0.000 0.000
Cl 2.145 0.799 -1.203
Cl -0.557 -1.531 -2.008
Cd 3.131 -2.961 -1.941
```

Properties
Raw formation energy ... -0.58 eV/atom
Space group ... P4/mmm (123)
Electronic total energy ... -2.99 eV/atom

---

| no. | spin magnetization (μB/atom) |
| --- | --- |
| 1 | 0.00 |
| 2 | 1.81 |
| 3 | 1.98 |
| 4 | 0.20 |
| 5 | 0.44 |
| 6 | 0.00 |
| 7 | 0.00 |
| 8 | 0.00 |
| 9 | 0.00 |
| 10 | 0.00 |
| 11 | 0.50 |
| 12 | 0.09 |
| 13 | 0.30 |